Compound: La3SbIrBr
Source: Alexandria
Functional: PBE
Structure: optimized geometry

Cell lengths 8.182, 4.452, 10.667 Å; angles 90.00, 110.83, 90.00 degrees
Space group P2_1/m (No. 11)
Symmetry-distinct sites (fractional):
La (0.022, 0.250, 0.354) (multiplicity 2)
La (0.199, 0.250, 0.990) (multiplicity 2)
La (0.426, 0.750, 0.611) (multiplicity 2)
Sb (0.228, 0.750, 0.223) (multiplicity 2)
Ir (0.222, 0.250, 0.625) (multiplicity 2)
Br (0.369, 0.750, 0.884) (multiplicity 2)

Output
The value obtained for the density of states at the Fermi level is 8.8 states/eV per cell. Its formation energy without anion corrections is -1.020 eV per atom.